Record 1
Below is a relaxed structure of LaEr2TmCd4, with properties calculated at the PBE-GGA level.

Calculated values
- calculated volume (Å³/atom) = 26.8
- E_form (eV per atom) = -0.302

Geometry as CIF:
```
data_LaEr2TmCd4
_chemical_formula_sum 'La3 Er6 Tm3 Cd12'
_symmetry_space_group_name_H-M 'R -3 m'
_symmetry_Int_Tables_number 166
_symmetry_space_group_name_Hall '-R 3 2"'
_cell_length_a 5.3205
_cell_length_b 5.3205
_cell_length_c 26.2243
_cell_angle_alpha 90.00
_cell_angle_beta 90.00
_cell_angle_gamma 120.00
loop_
_atom_site_label
_atom_site_fract_x
_atom_site_fract_y
_atom_site_fract_z
La1 0.0000 0.0000 0.0000
Er1 0.0000 0.0000 0.2484
Tm1 0.0000 0.0000 0.5000
Cd1 0.0000 0.0000 0.1274
Cd2 0.0000 0.0000 0.3789
```

=====

Record 2
Below is a relaxed structure of Li6Cu2Ge, with properties calculated at the PBE-GGA level.

Calculated values
- calculated volume (Å³/atom) = 13.9
- E_form (eV per atom) = -0.151

Geometry as CIF:
```
data_Li6Cu2Ge
_chemical_formula_sum 'Li18 Cu6 Ge3'
_symmetry_space_group_name_H-M 'R -3 m'
_symmetry_Int_Tables_number 166
_symmetry_space_group_name_Hall '-R 3 2"'
_cell_length_a 7.5473
_cell_length_b 7.5473
_cell_length_c 7.6298
_cell_angle_alpha 90.00
_cell_angle_beta 90.00
_cell_angle_gamma 120.00
loop_
_atom_site_label
_atom_site_fract_x
_atom_site_fract_y
_atom_site_fract_z
Li1 0.0000 0.3342 0.0000
Cu1 0.0000 0.0000 0.1624
Ge1 0.0000 0.0000 0.5000
```

=====

Record 3
Below is a relaxed structure of CoIrPt2, with properties calculated at the PBE-GGA level.

Calculated values
- calculated volume (Å³/atom) = 14.4
- excess energy over the best structure of this formula in the dataset (meV per atom) = 30
- E_form (eV per atom) = 0.007

Geometry as CIF:
```
data_CoIrPt2
_chemical_formula_sum 'Co2 Ir2 Pt4'
_symmetry_space_group_name_H-M 'C 1 m 1'
_symmetry_Int_Tables_number 8
_symmetry_space_group_name_Hall 'C -2y'
_cell_length_a 9.069
_cell_length_b 2.730
_cell_length_c 4.729
_cell_angle_alpha 90.00
_cell_angle_beta 100.32
_cell_angle_gamma 90.00
loop_
_atom_site_label
_atom_site_fract_x
_atom_site_fract_y
_atom_site_fract_z
Co1 0.000 0.000 0.000
Ir1 0.240 0.500 0.242
Pt1 0.252 0.000 0.757
Pt2 0.494 0.000 0.486
```

=====

Record 4
Below is a relaxed structure of Zn2CrPt, with properties calculated at the PBE-GGA level.

Calculated values
- calculated volume (Å³/atom) = 14.7
- E_form (eV per atom) = -0.141

Geometry as CIF:
```
data_Zn2CrPt
_chemical_formula_sum 'Zn8 Cr4 Pt4'
_symmetry_space_group_name_H-M 'F -4 3 m'
_symmetry_Int_Tables_number 216
_symmetry_space_group_name_Hall 'F -4 2 3'
_cell_length_a 6.170
_cell_length_b 6.170
_cell_length_c 6.170
_cell_angle_alpha 90.00
_cell_angle_beta 90.00
_cell_angle_gamma 90.00
loop_
_atom_site_label
_atom_site_fract_x
_atom_site_fract_y
_atom_site_fract_z
Zn1 0.000 0.000 0.000
Zn2 0.250 0.250 0.250
Cr1 0.000 0.000 0.500
Pt1 0.250 0.250 0.750
```

=====

Record 5
Below is a relaxed structure of SrPt2Cl, with properties calculated at the PBE-GGA level.

Calculated values
- calculated volume (Å³/atom) = 22.1
- excess energy over the best structure of this formula in the dataset (meV per atom) = 122
- formation energy from raw total energies (eV/atom) = -0.681

Geometry as CIF:
```
data_SrPt2Cl
_chemical_formula_sum 'Sr2 Pt4 Cl2'
_symmetry_space_group_name_H-M 'I 4/m m m'
_symmetry_Int_Tables_number 139
_symmetry_space_group_name_Hall '-I 4 2'
_cell_length_a 3.871
_cell_length_b 3.871
_cell_length_c 11.810
_cell_angle_alpha 90.00
_cell_angle_beta 90.00
_cell_angle_gamma 90.00
loop_
_atom_site_label
_atom_site_fract_x
_atom_site_fract_y
_atom_site_fract_z
Sr1 0.000 0.000 0.000
Pt1 0.000 0.500 0.250
Cl1 0.000 0.000 0.500
```

=====

Record 6
Below is a relaxed structure of HfSc3Al2, with properties calculated at the PBE-GGA level.

Calculated values
- calculated volume (Å³/atom) = 21.1
- E_form (eV per atom) = -0.222

Geometry as CIF:
```
data_HfSc3Al2
_chemical_formula_sum 'Hf4 Sc12 Al8'
_symmetry_space_group_name_H-M 'P n m a'
_symmetry_Int_Tables_number 62
_symmetry_space_group_name_Hall '-P 2ac 2n'
_cell_length_a 7.954
_cell_length_b 3.140
_cell_length_c 20.238
_cell_angle_alpha 90.00
_cell_angle_beta 90.00
_cell_angle_gamma 90.00
loop_
_atom_site_label
_atom_site_fract_x
_atom_site_fract_y
_atom_site_fract_z
Hf1 0.007 0.250 0.066
Sc1 0.079 0.250 0.339
Sc2 0.177 0.750 0.471
Sc3 0.208 0.250 0.204
Al1 0.111 0.250 0.811
Al2 0.171 0.250 0.592
```

=====

Record 7
Below is a relaxed structure of KTeIO6, with properties calculated at the PBE-GGA level.

Calculated values
- calculated volume (Å³/atom) = 17.9
- formation energy from raw total energies (eV/atom) = -0.778

Geometry as CIF:
```
data_KTeIO6
_chemical_formula_sum 'K1 Te1 I1 O6'
_symmetry_space_group_name_H-M 'P 1'
_symmetry_Int_Tables_number 1
_symmetry_space_group_name_Hall 'P 1'
_cell_length_a 5.360
_cell_length_b 5.790
_cell_length_c 5.862
_cell_angle_alpha 89.63
_cell_angle_beta 89.19
_cell_angle_gamma 62.55
loop_
_atom_site_label
_atom_site_fract_x
_atom_site_fract_y
_atom_site_fract_z
K1 0.000 0.000 0.000
Te1 0.323 0.354 0.500
I1 0.660 0.682 0.499
O1 0.372 0.632 0.680
O2 0.425 0.936 0.299
O3 0.633 0.415 0.314
O4 0.642 0.936 0.699
O5 0.950 0.415 0.684
O6 0.998 0.629 0.318
```

=====

Record 8
Below is a relaxed structure of Ba2ScTlHg, with properties calculated at the PBE-GGA level.

Calculated values
- calculated volume (Å³/atom) = 47.2
- E_form (eV per atom) = 0.323

Geometry as CIF:
```
data_Ba2ScTlHg
_chemical_formula_sum 'Ba2 Sc1 Tl1 Hg1'
_symmetry_space_group_name_H-M 'P 4/m m m'
_symmetry_Int_Tables_number 123
_symmetry_space_group_name_Hall '-P 4 2'
_cell_length_a 6.554
_cell_length_b 6.554
_cell_length_c 5.489
_cell_angle_alpha 90.00
_cell_angle_beta 90.00
_cell_angle_gamma 90.00
loop_
_atom_site_label
_atom_site_fract_x
_atom_site_fract_y
_atom_site_fract_z
Ba1 0.000 0.500 0.000
Sc1 0.000 0.000 0.500
Tl1 0.500 0.500 0.500
Hg1 0.500 0.500 0.000
```

=====

Record 9
Below is a relaxed structure of HfCrB4, with properties calculated at the PBE-GGA level.

Calculated values
- calculated volume (Å³/atom) = 8.9
- E_form (eV per atom) = -0.691

Geometry as CIF:
```
data_HfCrB4
_chemical_formula_sum 'Hf4 Cr4 B16'
_symmetry_space_group_name_H-M 'P b a m'
_symmetry_Int_Tables_number 55
_symmetry_space_group_name_Hall '-P 2 2ab'
_cell_length_a 5.784
_cell_length_b 11.183
_cell_length_c 3.307
_cell_angle_alpha 90.00
_cell_angle_beta 90.00
_cell_angle_gamma 90.00
loop_
_atom_site_label
_atom_site_fract_x
_atom_site_fract_y
_atom_site_fract_z
Hf1 0.127 0.150 0.000
Cr1 0.130 0.415 0.000
B1 0.023 0.694 0.500
B2 0.115 0.548 0.500
B3 0.133 0.968 0.500
B4 0.211 0.814 0.500
```

=====

Record 10
Below is a relaxed structure of LaRe2Sb, with properties calculated at the PBE-GGA level.

Calculated values
- calculated volume (Å³/atom) = 20.0
- formation energy from raw total energies (eV/atom) = 0.841

Geometry as CIF:
```
data_LaRe2Sb
_chemical_formula_sum 'La2 Re4 Sb2'
_symmetry_space_group_name_H-M 'C m m m'
_symmetry_Int_Tables_number 65
_symmetry_space_group_name_Hall '-C 2 2'
_cell_length_a 3.360
_cell_length_b 5.203
_cell_length_c 9.135
_cell_angle_alpha 90.00
_cell_angle_beta 90.00
_cell_angle_gamma 90.00
loop_
_atom_site_label
_atom_site_fract_x
_atom_site_fract_y
_atom_site_fract_z
La1 0.000 0.000 0.000
Re1 0.000 0.500 0.269
Sb1 0.000 0.000 0.500
```

=====

Record 11
Below is a relaxed structure of ScSbPtS2, with properties calculated at the PBE-GGA level.

Calculated values
- calculated volume (Å³/atom) = 22.9
- formation energy from raw total energies (eV/atom) = 0.009

Geometry as CIF:
```
data_ScSbPtS2
_chemical_formula_sum 'Sc1 Sb1 Pt1 S2'
_symmetry_space_group_name_H-M 'P 4/m m m'
_symmetry_Int_Tables_number 123
_symmetry_space_group_name_Hall '-P 4 2'
_cell_length_a 4.666
_cell_length_b 4.666
_cell_length_c 5.251
_cell_angle_alpha 90.00
_cell_angle_beta 90.00
_cell_angle_gamma 90.00
loop_
_atom_site_label
_atom_site_fract_x
_atom_site_fract_y
_atom_site_fract_z
Sc1 0.000 0.000 0.000
Sb1 0.500 0.500 0.000
Pt1 0.000 0.000 0.500
S1 0.000 0.500 0.500
```

=====

Record 12
Below is a relaxed structure of B5C7, with properties calculated at the PBE-GGA level.

Calculated values
- calculated volume (Å³/atom) = 6.5
- excess energy over the best structure of this formula in the dataset (meV per atom) = 117
- E_form (eV per atom) = 0.375

Geometry as CIF:
```
data_B5C7
_chemical_formula_sum 'B5 C7'
_symmetry_space_group_name_H-M 'P 1 m 1'
_symmetry_Int_Tables_number 6
_symmetry_space_group_name_Hall 'P -2y'
_cell_length_a 4.724
_cell_length_b 2.548
_cell_length_c 6.565
_cell_angle_alpha 90.00
_cell_angle_beta 97.95
_cell_angle_gamma 90.00
loop_
_atom_site_label
_atom_site_fract_x
_atom_site_fract_y
_atom_site_fract_z
B1 0.000 0.000 0.000
B2 0.012 0.000 0.285
B3 0.272 0.000 0.561
B4 0.347 0.000 0.268
B5 0.773 0.500 0.354
C1 0.103 0.500 0.669
C2 0.172 0.500 0.893
C3 0.495 0.500 0.208
C4 0.495 0.500 0.975
C5 0.627 0.000 0.664
C6 0.647 0.000 0.905
C7 0.779 0.500 0.595
```